No. 1
# PBE PuHfV, relaxed
data_PuHfV
_space_group_name_H-M_alt 'C m c m'
_space_group_IT_number 63
_space_group_name_Hall '-C 2c 2'
_cell_length_a 4.714
_cell_length_b 14.661
_cell_length_c 3.258
_cell_angle_alpha 90.00
_cell_angle_beta 90.00
_cell_angle_gamma 90.00
loop_
_atom_site_label
_atom_site_type_symbol
_atom_site_fract_x
_atom_site_fract_y
_atom_site_fract_z
Pu1 Pu 0.000 0.056 0.250
Hf1 Hf 0.000 0.390 0.250
V1 V 0.000 0.202 0.250
# volume = 18.8 A^3/atom
# formation energy = 0.34 eV/atom
# ρ = 13.97 g/cm³


No. 2
# PBE Al3Bi5Cl12, relaxed
data_Al3Bi5Cl12
_space_group_name_H-M_alt 'R -3 c'
_space_group_IT_number 167
_space_group_name_Hall '-R 3 2"c'
_cell_length_a 11.9914
_cell_length_b 11.9914
_cell_length_c 31.2326
_cell_angle_alpha 90.00
_cell_angle_beta 90.00
_cell_angle_gamma 120.00
loop_
_atom_site_label
_atom_site_type_symbol
_atom_site_fract_x
_atom_site_fract_y
_atom_site_fract_z
Al1 Al 0.0000 0.4671 0.2500
Bi1 Bi 0.0000 0.0000 0.1741
Bi2 Bi 0.0000 0.1608 0.7500
Cl1 Cl 0.0074 0.4332 0.6938
Cl2 Cl 0.0571 0.2239 0.9083
# formation energy (no corrections) = -1.106 eV per atom
# volume = 32.4 A^3/atom
# ρ = 3.97 g/cm³


No. 3
# PBE NpSnCl6, relaxed
data_NpSnCl6
_space_group_name_H-M_alt 'R -3'
_space_group_IT_number 148
_space_group_name_Hall '-R 3'
_cell_length_a 6.8517
_cell_length_b 6.8517
_cell_length_c 18.8479
_cell_angle_alpha 90.00
_cell_angle_beta 90.00
_cell_angle_gamma 120.00
loop_
_atom_site_label
_atom_site_type_symbol
_atom_site_fract_x
_atom_site_fract_y
_atom_site_fract_z
Np1 Np 0.0000 0.0000 0.0000
Sn1 Sn 0.0000 0.0000 0.5000
Cl1 Cl 0.0025 0.3140 0.0803
# formation energy (no corrections) = -1.390 eV per atom
# volume = 31.9 A^3/atom
# ρ = 3.70 g/cm³


No. 4
# PBE Sm2Er3PuSe6, relaxed
data_Sm2Er3PuSe6
_space_group_name_H-M_alt 'C 1 2/m 1'
_space_group_IT_number 12
_cell_length_a 17.921
_cell_length_b 4.065
_cell_length_c 8.264
_cell_angle_alpha 90.00
_cell_angle_beta 104.03
_cell_angle_gamma 90.00
loop_
_space_group_symop_operation_xyz
'x,y,z'
'-x,-y,-z'
'-x,y,-z'
'x,-y,z'
'x+1/2,y+1/2,z'
'-x+1/2,-y+1/2,-z'
'-x+1/2,y+1/2,-z'
'x+1/2,-y+1/2,z'
loop_
_atom_site_label
_atom_site_type_symbol
_atom_site_fract_x
_atom_site_fract_y
_atom_site_fract_z
Sm1 Sm 0.165 0.000 0.331
Er1 Er 0.000 0.500 0.500
Er2 Er 0.167 0.000 0.836
Pu1 Pu 0.000 0.500 0.000
Se1 Se 0.003 0.000 0.745
Se2 Se 0.164 0.500 0.591
Se3 Se 0.169 0.500 0.077
# formation energy (no corrections) = -1.731 eV per atom
# volume = 24.3 A^3/atom
# ρ = 8.64 g/cm³


No. 5
# PBE MgNi2Pb, relaxed
data_MgNi2Pb
_space_group_name_H-M_alt 'R -3 m'
_space_group_IT_number 166
_space_group_name_Hall '-R 3 2"'
_cell_length_a 3.1659
_cell_length_b 3.1659
_cell_length_c 24.0422
_cell_angle_alpha 90.00
_cell_angle_beta 90.00
_cell_angle_gamma 120.00
loop_
_atom_site_label
_atom_site_type_symbol
_atom_site_fract_x
_atom_site_fract_y
_atom_site_fract_z
Mg1 Mg 0.0000 0.0000 0.0000
Ni1 Ni 0.0000 0.0000 0.2516
Pb1 Pb 0.0000 0.0000 0.5000
# volume = 17.4 A^3/atom
# formation energy = 0.29 eV/atom
# ρ = 8.33 g/cm³


No. 6
# PBE KPRu2, relaxed
data_KPRu2
_space_group_name_H-M_alt 'C 1 2/m 1'
_space_group_IT_number 12
_cell_length_a 5.831
_cell_length_b 9.312
_cell_length_c 2.707
_cell_angle_alpha 90.00
_cell_angle_beta 116.76
_cell_angle_gamma 90.00
loop_
_space_group_symop_operation_xyz
'x,y,z'
'-x,-y,-z'
'-x,y,-z'
'x,-y,z'
'x+1/2,y+1/2,z'
'-x+1/2,-y+1/2,-z'
'-x+1/2,y+1/2,-z'
'x+1/2,-y+1/2,z'
loop_
_atom_site_label
_atom_site_type_symbol
_atom_site_fract_x
_atom_site_fract_y
_atom_site_fract_z
K1 K 0.000 0.000 0.000
P1 P 0.000 0.500 0.000
Ru1 Ru 0.250 0.250 0.000
# volume = 16.4 A^3/atom
# formation energy = 1.03 eV/atom
# ρ = 6.89 g/cm³


No. 7
# PBE Y3ZrHg, relaxed
data_Y3ZrHg
_space_group_name_H-M_alt 'P m -3 m'
_space_group_IT_number 221
_space_group_name_Hall '-P 4 2 3'
_cell_length_a 5.519
_cell_length_b 5.519
_cell_length_c 5.519
_cell_angle_alpha 90.00
_cell_angle_beta 90.00
_cell_angle_gamma 90.00
loop_
_atom_site_label
_atom_site_type_symbol
_atom_site_fract_x
_atom_site_fract_y
_atom_site_fract_z
Y1 Y 0.000 0.000 0.500
Zr1 Zr 0.000 0.000 0.000
Hg1 Hg 0.500 0.500 0.500
# volume = 33.6 A^3/atom
# formation energy = 0.60 eV/atom
# ρ = 5.52 g/cm³


No. 8
# PBE CeGa9Tc2, relaxed
data_CeGa9Tc2
_space_group_name_H-M_alt 'P 6/m m m'
_space_group_IT_number 191
_space_group_name_Hall '-P 6 2'
_cell_length_a 8.5711
_cell_length_b 8.5711
_cell_length_c 3.3484
_cell_angle_alpha 90.00
_cell_angle_beta 90.00
_cell_angle_gamma 120.00
loop_
_atom_site_label
_atom_site_type_symbol
_atom_site_fract_x
_atom_site_fract_y
_atom_site_fract_z
Ce1 Ce 0.0000 0.0000 0.0000
Ga1 Ga 0.0000 0.5000 0.0000
Ga2 Ga 0.1904 0.3808 0.5000
Tc1 Tc 0.3333 0.6667 0.0000
# volume = 17.8 A^3/atom
# formation energy = -0.30 eV/atom
# ρ = 7.51 g/cm³


Question: Among the records above, which one has the lowest ρ?
Answer: NpSnCl6